--- a ---
Compound: Rb3SrPd
Source: Alexandria
Functional: GGA-PBE
Structure: optimized geometry

Magnetization (μB/atom): 0.000

Cell: 6.730 6.730 6.730 Å, 90.00 90.00 90.00°
Space group Pm-3m (No. 221)
Inequivalent atoms, fractional coordinates:
Rb: 0.000 0.000 0.500 x3
Sr: 0.500 0.500 0.500 x1
Pd: 0.000 0.000 0.000 x1

=====

--- b ---
Compound: Rb3SrPd
Source: Alexandria
Functional: GGA-PBE
Structure: optimized geometry

Magnetization (μB/atom): 0.000

Cell: 7.897 7.897 7.897 Å, 90.00 90.00 90.00°
Space group Pm-3m (No. 221)
Inequivalent atoms, fractional coordinates:
Rb: 0.000 0.000 0.500 x3
Sr: 0.000 0.000 0.000 x1
Pd: 0.500 0.500 0.500 x1

=====

Which of them is most stable? Easy: a.

=====

--- a ---
Compound: RbTa3Pd
Source: Alexandria
Functional: GGA-PBE
Structure: optimized geometry

Magnetization (μB/atom): 0.000

Cell: 5.033 5.033 5.033 Å, 90.00 90.00 90.00°
Space group Pm-3m (No. 221)
Inequivalent atoms, fractional coordinates:
Rb: 0.000 0.000 0.000 x1
Ta: 0.000 0.500 0.500 x3
Pd: 0.500 0.500 0.500 x1

=====

--- b ---
Compound: RbTa3Pd
Source: Alexandria
Functional: GGA-PBE
Structure: optimized geometry

Magnetization (μB/atom): 0.000

Cell: 4.747 4.747 4.747 Å, 90.00 90.00 90.00°
Space group Pm-3m (No. 221)
Inequivalent atoms, fractional coordinates:
Rb: 0.000 0.000 0.000 x1
Ta: 0.000 0.000 0.500 x3
Pd: 0.500 0.500 0.500 x1

=====

Which of them is most stable? Easy: a.

=====

--- a ---
Compound: RbTcPd
Source: Alexandria
Functional: GGA-PBE
Structure: optimized geometry

Magnetization (μB/atom): 1.250

Cell: 6.1559 6.1559 9.7302 Å, 90.00 90.00 120.00°
Space group P6_3/mmc (No. 194)
Inequivalent atoms, fractional coordinates:
Rb: 0.3333 0.6667 0.2500 x2
Tc: 0.0000 0.0000 0.2500 x2
Pd: 0.0000 0.0000 0.0000 x2

=====

--- b ---
Compound: RbTcPd
Source: Alexandria
Functional: GGA-PBE
Structure: optimized geometry

Magnetization (μB/atom): 0.000

Cell: 3.648 3.648 12.729 Å, 90.00 90.00 90.00°
Space group P4/nmm (No. 129, origin choice 2)
Inequivalent atoms, fractional coordinates:
Rb: 0.250 0.250 0.177 x2
Tc: 0.250 0.750 0.500 x2
Pd: 0.250 0.250 0.657 x2

=====

Which of them is most stable? Easy: b.

=====

--- a ---
Compound: RbTcPd
Source: Alexandria
Functional: GGA-PBE
Structure: optimized geometry

Magnetization (μB/atom): 0.193

Cell: 5.594 4.682 10.635 Å, 90.00 90.00 90.00°
Space group Pnma (No. 62)
Inequivalent atoms, fractional coordinates:
Rb: 0.004 0.250 0.112 x4
Tc: 0.003 0.750 0.311 x4
Pd: 0.004 0.250 0.438 x4

=====

--- b ---
Compound: RbTcPd
Source: Alexandria
Functional: GGA-PBE
Structure: optimized geometry

Magnetization (μB/atom): 0.047

Cell: 3.814 4.865 11.563 Å, 78.63 82.75 66.97°
Space group P1 (No. 1)
Inequivalent atoms, fractional coordinates:
Rb: 0.000 0.000 0.000 x1
Rb: 0.444 0.643 0.613 x1
Tc: 0.079 0.592 0.327 x1
Tc: 0.676 0.478 0.222 x1
Pd: 0.383 0.029 0.269 x1
Pd: 0.766 0.137 0.433 x1

=====

Which of them is most stable? Easy: b.

=====

--- a ---
Compound: RbTc3Pd
Source: Alexandria
Functional: GGA-PBE
Structure: optimized geometry

Magnetization (μB/atom): 0.000

Cell: 4.607 4.607 4.607 Å, 90.00 90.00 90.00°
Space group Pm-3m (No. 221)
Inequivalent atoms, fractional coordinates:
Rb: 0.000 0.000 0.000 x1
Tc: 0.000 0.000 0.500 x3
Pd: 0.500 0.500 0.500 x1

=====

--- b ---
Compound: RbTc3Pd
Source: Alexandria
Functional: GGA-PBE
Structure: optimized geometry

Magnetization (μB/atom): 1.842

Cell: 5.050 5.050 5.050 Å, 90.00 90.00 90.00°
Space group Pm-3m (No. 221)
Inequivalent atoms, fractional coordinates:
Rb: 0.000 0.000 0.000 x1
Tc: 0.000 0.500 0.500 x3
Pd: 0.500 0.500 0.500 x1

=====

Which of them is most stable? Easy: b.

=====

--- a ---
Compound: RbTc2Pd
Source: Alexandria
Functional: GGA-PBE
Structure: optimized geometry

Magnetization (μB/atom): 0.000

Cell: 6.564 6.564 6.564 Å, 90.00 90.00 90.00°
Space group Fm-3m (No. 225)
Inequivalent atoms, fractional coordinates:
Rb: 0.000 0.000 0.000 x4
Tc: 0.250 0.250 0.250 x8
Pd: 0.000 0.000 0.500 x4

=====

--- b ---
Compound: RbTc2Pd
Source: Alexandria
Functional: GGA-PBE
Structure: optimized geometry

Magnetization (μB/atom): 0.000

Cell: 4.661 4.661 19.275 Å, 90.00 90.00 90.00°
Space group I4_1/amd (No. 141, origin choice 2)
Inequivalent atoms, fractional coordinates:
Rb: 0.000 0.250 0.375 x4
Tc: 0.000 0.000 0.000 x8
Pd: 0.000 0.250 0.875 x4

=====

Which of them is most stable? Easy: b.

=====

--- a ---
Compound: Rb2TcPd
Source: Alexandria
Functional: GGA-PBE
Structure: optimized geometry

Magnetization (μB/atom): 1.045

Cell: 8.169 8.169 8.169 Å, 90.00 90.00 90.00°
Space group Fm-3m (No. 225)
Inequivalent atoms, fractional coordinates:
Rb: 0.250 0.250 0.250 x8
Tc: 0.000 0.000 0.000 x4
Pd: 0.000 0.000 0.500 x4

=====

--- b ---
Compound: Rb2TcPd
Source: Alexandria
Functional: GGA-PBE
Structure: optimized geometry

Magnetization (μB/atom): 0.959

Cell: 12.709 12.709 5.045 Å, 90.00 90.00 90.00°
Space group I-42d (No. 122)
Inequivalent atoms, fractional coordinates:
Rb: 0.079 0.250 0.125 x8
Tc: 0.000 0.000 0.500 x4
Pd: 0.000 0.000 0.000 x4

=====

Which of them is most stable? Easy: b.

=====

--- a ---
Compound: RbTcPd3
Source: Alexandria
Functional: GGA-PBE
Structure: optimized geometry

Magnetization (μB/atom): 0.000

Cell: 4.946 4.946 4.946 Å, 90.00 90.00 90.00°
Space group Pm-3m (No. 221)
Inequivalent atoms, fractional coordinates:
Rb: 0.000 0.000 0.000 x1
Tc: 0.500 0.500 0.500 x1
Pd: 0.000 0.500 0.500 x3

=====

--- b ---
Compound: RbTcPd3
Source: Alexandria
Functional: GGA-PBE
Structure: optimized geometry

Magnetization (μB/atom): 0.890

Cell: 5.069 5.069 5.069 Å, 90.00 90.00 90.00°
Space group Pm-3m (No. 221)
Inequivalent atoms, fractional coordinates:
Rb: 0.000 0.000 0.000 x1
Tc: 0.500 0.500 0.500 x1
Pd: 0.000 0.000 0.500 x3

=====

Which of them is most stable? Easy: a.

=====

--- a ---
Compound: RbTe2Pd2
Source: Alexandria
Functional: GGA-PBE
Structure: optimized geometry

Magnetization (μB/atom): 0.000

Cell: 5.202 5.202 11.466 Å, 90.00 90.00 90.00°
Space group I4/mmm (No. 139)
Inequivalent atoms, fractional coordinates:
Rb: 0.000 0.000 0.000 x2
Te: 0.000 0.500 0.250 x4
Pd: 0.000 0.000 0.317 x4

=====

--- b ---
Compound: RbTe2Pd2
Source: Alexandria
Functional: GGA-PBE
Structure: optimized geometry

Magnetization (μB/atom): 0.000

Cell: 4.619 4.619 13.103 Å, 90.00 90.00 90.00°
Space group I4/mmm (No. 139)
Inequivalent atoms, fractional coordinates:
Rb: 0.000 0.000 0.000 x2
Te: 0.000 0.000 0.357 x4
Pd: 0.000 0.500 0.250 x4

=====

Which of them is most stable? Easy: b.

=====

--- a ---
Compound: RbTe2Pd2
Source: Alexandria
Functional: GGA-PBE
Structure: optimized geometry

Magnetization (μB/atom): 0.000

Cell: 7.066 7.076 7.547 Å, 103.99 104.35 118.46°
Space group P-1 (No. 2)
Inequivalent atoms, fractional coordinates:
Rb: 0.121 0.371 0.250 x2
Te: 0.212 0.319 0.791 x2
Te: 0.472 0.080 0.291 x2
Pd: 0.214 0.001 0.524 x2
Pd: 0.478 0.191 0.976 x2

=====

--- b ---
Compound: RbTe2Pd2
Source: Alexandria
Functional: GGA-PBE
Structure: optimized geometry

Magnetization (μB/atom): 0.000

Cell: 8.603 8.603 3.295 Å, 90.00 90.00 90.00°
Space group P4/mbm (No. 127)
Inequivalent atoms, fractional coordinates:
Rb: 0.000 0.000 0.000 x2
Te: 0.158 0.342 0.500 x4
Pd: 0.117 0.617 0.000 x4

=====

Which of them is most stable? Easy: a.

=====

--- a ---
Compound: RbTi3Pd
Source: Alexandria
Functional: GGA-PBE
Structure: optimized geometry

Magnetization (μB/atom): 0.502

Cell: 4.652 4.652 4.652 Å, 90.00 90.00 90.00°
Space group Pm-3m (No. 221)
Inequivalent atoms, fractional coordinates:
Rb: 0.000 0.000 0.000 x1
Ti: 0.000 0.000 0.500 x3
Pd: 0.500 0.500 0.500 x1

=====

--- b ---
Compound: RbTi3Pd
Source: Alexandria
Functional: GGA-PBE
Structure: optimized geometry

Magnetization (μB/atom): 0.000

Cell: 4.999 4.999 4.999 Å, 90.00 90.00 90.00°
Space group Pm-3m (No. 221)
Inequivalent atoms, fractional coordinates:
Rb: 0.000 0.000 0.000 x1
Ti: 0.000 0.500 0.500 x3
Pd: 0.500 0.500 0.500 x1

=====

Which of them is most stable? Easy: b.

=====

--- a ---
Compound: RbTl4Pd2
Source: Alexandria
Functional: GGA-PBE
Structure: optimized geometry

Magnetization (μB/atom): 0.000

Cell: 5.075 15.661 4.969 Å, 90.00 90.00 90.00°
Space group Cmmm (No. 65)
Inequivalent atoms, fractional coordinates:
Rb: 0.000 0.000 0.000 x2
Tl: 0.000 0.170 0.500 x4
Tl: 0.000 0.326 0.000 x4
Pd: 0.000 0.413 0.500 x4

=====

--- b ---
Compound: RbTl4Pd2
Source: Alexandria
Functional: GGA-PBE
Structure: optimized geometry

Magnetization (μB/atom): 0.000

Cell: 8.636 10.928 5.579 Å, 90.00 130.22 90.00°
Space group C2/m (No. 12)
Inequivalent atoms, fractional coordinates:
Rb: 0.000 0.000 0.000 x2
Tl: 0.249 0.175 0.749 x8
Pd: 0.001 0.500 0.257 x4

=====

Which of them is most stable? Easy: a.